# 1
Compound: YTmZnTe3
Source: OQMD
Functional: PBE
Structure: optimized geometry

Cell: 7.842 7.842 10.468 Å, 90.00 90.00 149.67°
Fractional positions:
Y 0.000 0.000 0.000
Y 0.000 0.000 0.500
Tm 0.226 0.774 0.750
Tm 0.774 0.226 0.250
Zn 0.480 0.520 0.250
Zn 0.520 0.480 0.750
Te 0.119 0.881 0.250
Te 0.348 0.652 0.054
Te 0.348 0.652 0.446
Te 0.652 0.348 0.554
Te 0.652 0.348 0.946
Te 0.881 0.119 0.750

Output
Crystal system: orthorhombic
Total moment in μB per formula unit: 0.0
Space-group type: Cmcm (63)

# 2
Compound: Tm5ZnTe4
Source: OQMD
Functional: PBE
Structure: optimized geometry

Cell: 7.418 7.418 7.418 Å, 99.52 99.52 132.01°
Fractional positions:
Tm 0.000 0.000 0.000
Tm 0.227 0.596 0.823
Tm 0.404 0.227 0.631
Tm 0.596 0.773 0.369
Tm 0.773 0.404 0.177
Zn 0.500 0.500 0.000
Te 0.089 0.308 0.397
Te 0.308 0.911 0.218
Te 0.692 0.089 0.782
Te 0.911 0.692 0.603

Output
Crystal system: tetragonal
Total moment in μB per formula unit: 0.0
Space-group type: I4/m (87)

# 3
Compound: TmZnTe
Source: OQMD
Functional: PBE
Structure: optimized geometry

Cell: 4.838 4.838 4.838 Å, 60.00 60.00 60.00°
Fractional positions:
Tm 0.000 0.000 0.000
Zn 0.750 0.750 0.750
Te 0.500 0.500 0.500

Output
Crystal system: cubic
Total moment in μB per formula unit: 0.0
Energy above the most stable polymorph in this dataset in meV/atom: 123
Space-group type: F-43m (216)

# 4
Compound: TmZnTe
Source: OQMD
Functional: PBE
Structure: optimized geometry

Cell: 4.962 4.962 4.962 Å, 60.00 60.00 60.00°
Fractional positions:
Tm 0.000 0.000 0.000
Zn 0.250 0.250 0.250
Te 0.750 0.750 0.750

Output
Crystal system: cubic
Total moment in μB per formula unit: 0.0
Energy above the most stable polymorph in this dataset in meV/atom: 0
Space-group type: F-43m (216)

# 5
Compound: TmZrTe
Source: OQMD
Functional: PBE
Structure: optimized geometry

Cell: 4.861 4.861 4.861 Å, 60.00 60.00 60.00°
Fractional positions:
Tm 0.000 0.000 0.000
Zr 0.500 0.500 0.500
Te 0.750 0.750 0.750

Output
Crystal system: cubic
Total moment in μB per formula unit: 0.0
Energy above the most stable polymorph in this dataset in meV/atom: 0
Space-group type: F-43m (216)

# 6
Compound: U3Te5
Source: OQMD
Functional: PBE
Structure: optimized geometry

Cell: 16.140 4.143 14.079 Å, 90.00 90.00 90.00°
Fractional positions:
U 0.119 0.250 0.250
U 0.127 0.750 0.590
U 0.139 0.250 0.932
U 0.361 0.750 0.432
U 0.373 0.250 0.090
U 0.381 0.750 0.750
U 0.619 0.250 0.250
U 0.627 0.750 0.910
U 0.639 0.250 0.568
U 0.861 0.750 0.068
U 0.873 0.250 0.410
U 0.881 0.750 0.750
Te 0.025 0.750 0.390
Te 0.069 0.750 0.798
Te 0.075 0.750 0.081
Te 0.215 0.250 0.453
Te 0.236 0.250 0.721
Te 0.264 0.750 0.221
Te 0.285 0.750 0.953
Te 0.425 0.250 0.581
Te 0.431 0.250 0.298
Te 0.475 0.250 0.890
Te 0.525 0.750 0.110
Te 0.569 0.750 0.702
Te 0.575 0.750 0.419
Te 0.715 0.250 0.047
Te 0.736 0.250 0.779
Te 0.764 0.750 0.279
Te 0.785 0.750 0.547
Te 0.925 0.250 0.919
Te 0.931 0.250 0.202
Te 0.975 0.250 0.610

Output
Crystal system: orthorhombic
Total moment in μB per formula unit: 7.9
Energy above the most stable polymorph in this dataset in meV/atom: 0
Space-group type: Pnma (62)

# 7
Compound: U2Te3
Source: OQMD
Functional: PBE
Structure: optimized geometry

Cell: 11.954 4.233 11.840 Å, 90.00 90.00 90.00°
Fractional positions:
U 0.016 0.250 0.184
U 0.193 0.250 0.507
U 0.307 0.750 0.007
U 0.484 0.750 0.684
U 0.516 0.250 0.316
U 0.693 0.250 0.993
U 0.807 0.750 0.493
U 0.984 0.750 0.816
Te 0.050 0.750 0.374
Te 0.124 0.250 0.944
Te 0.224 0.750 0.705
Te 0.276 0.250 0.205
Te 0.376 0.750 0.444
Te 0.450 0.250 0.874
Te 0.550 0.750 0.126
Te 0.624 0.250 0.556
Te 0.724 0.750 0.795
Te 0.776 0.250 0.295
Te 0.876 0.750 0.056
Te 0.950 0.250 0.626

Output
Crystal system: orthorhombic
Total moment in μB per formula unit: 5.8
Space-group type: Pnma (62)

# 8
Compound: U3Te5
Source: OQMD
Functional: PBE
Structure: optimized geometry

Cell: 13.197 8.762 8.297 Å, 90.00 90.00 90.00°
Fractional positions:
U 0.005 0.250 0.083
U 0.181 0.503 0.522
U 0.181 0.997 0.522
U 0.319 0.003 0.022
U 0.319 0.497 0.022
U 0.495 0.750 0.583
U 0.505 0.250 0.417
U 0.681 0.503 0.978
U 0.681 0.997 0.978
U 0.819 0.003 0.478
U 0.819 0.497 0.478
U 0.995 0.750 0.917
Te 0.001 0.250 0.465
Te 0.100 0.550 0.169
Te 0.100 0.950 0.169
Te 0.181 0.250 0.827
Te 0.219 0.750 0.799
Te 0.281 0.250 0.299
Te 0.319 0.750 0.327
Te 0.400 0.050 0.669
Te 0.400 0.450 0.669
Te 0.499 0.750 0.965
Te 0.501 0.250 0.035
Te 0.600 0.550 0.331
Te 0.600 0.950 0.331
Te 0.681 0.250 0.673
Te 0.719 0.750 0.701
Te 0.781 0.250 0.201
Te 0.819 0.750 0.173
Te 0.900 0.050 0.831
Te 0.900 0.450 0.831
Te 0.999 0.750 0.535

Output
Crystal system: orthorhombic
Total moment in μB per formula unit: 8.0
Energy above the most stable polymorph in this dataset in meV/atom: 30
Space-group type: Pnma (62)

# 9
Compound: U7Te12
Source: OQMD
Functional: PBE
Structure: optimized geometry

Cell: 12.424 12.424 4.187 Å, 90.00 90.00 120.00°
Fractional positions:
U 0.000 0.000 0.000
U 0.159 0.451 0.500
U 0.292 0.841 0.500
U 0.432 0.278 0.000
U 0.549 0.708 0.500
U 0.722 0.154 0.000
U 0.846 0.568 0.000
Te 0.008 0.255 0.000
Te 0.137 0.629 0.000
Te 0.213 0.210 0.500
Te 0.248 0.992 0.000
Te 0.371 0.508 0.000
Te 0.492 0.863 0.000
Te 0.524 0.140 0.500
Te 0.616 0.476 0.500
Te 0.745 0.752 0.000
Te 0.790 0.003 0.500
Te 0.860 0.384 0.500
Te 0.997 0.787 0.500

Output
Crystal system: hexagonal
Total moment in μB per formula unit: 17.8
Space-group type: P-6 (174)

# 10
Compound: YUTe
Source: OQMD
Functional: PBE
Structure: optimized geometry

Cell: 5.098 5.098 5.098 Å, 60.00 60.00 60.00°
Fractional positions:
Y 0.000 0.000 0.000
U 0.500 0.500 0.500
Te 0.750 0.750 0.750

Output
Crystal system: cubic
Total moment in μB per formula unit: 4.7
Energy above the most stable polymorph in this dataset in meV/atom: 0
Space-group type: F-43m (216)

# 11
Compound: TeW2
Source: OQMD
Functional: PBE
Structure: optimized geometry

Cell: 5.471 5.471 5.471 Å, 60.00 60.00 60.00°
Fractional positions:
Te 0.125 0.125 0.125
Te 0.875 0.875 0.875
W 0.000 0.500 0.500
W 0.500 0.000 0.500
W 0.500 0.500 0.000
W 0.500 0.500 0.500

Output
Crystal system: cubic
Total moment in μB per formula unit: 0.0
Energy above the most stable polymorph in this dataset in meV/atom: 0
Space-group type: Fd-3m (227)

# 12
Compound: Te3W2
Source: OQMD
Functional: PBE
Structure: optimized geometry

Cell: 8.508 8.508 9.324 Å, 91.29 91.29 23.60°
Fractional positions:
Te 0.036 0.036 0.272
Te 0.190 0.190 0.626
Te 0.347 0.347 0.027
Te 0.653 0.653 0.973
Te 0.810 0.810 0.374
Te 0.964 0.964 0.728
W 0.206 0.206 0.193
W 0.354 0.354 0.624
W 0.646 0.646 0.376
W 0.794 0.794 0.807

Output
Crystal system: monoclinic
Total moment in μB per formula unit: 0.0
Space-group type: C2/m (12)

| no. | final energy (eV for the cell shown) |
| --- | --- |
| 1 | -54.35 |
| 2 | -46.60 |
| 3 | -9.55 |
| 4 | -9.92 |
| 5 | -16.95 |
| 6 | -218.63 |
| 7 | -140.59 |
| 8 | -217.68 |
| 9 | -128.73 |
| 10 | -20.65 |
| 11 | -52.35 |
| 12 | -68.15 |